# 1
A geometry-optimized Rb2ZnNiI6 structure, computed with PBE-GGA.

Cell and atoms, written as POSCAR:
```
Rb2ZnNiI6
1.0
-6.057 2.587 4.467
-4.984 -4.724 -4.022
-4.535 -5.365 4.046
Zn Ni Rb I
1 1 2 6
direct
0.000 0.000 0.000
0.500 0.500 0.000
0.250 0.750 0.500
0.750 0.250 0.500
0.249 0.751 0.000
0.724 0.724 0.553
0.751 0.249 0.000
0.249 0.249 0.000
0.276 0.276 0.447
0.751 0.751 0.000
```

Results
SG: I4/mmm (139)

***

# 2
A geometry-optimized Re2NiI structure, computed with PBE-GGA.

Cell and atoms, written as POSCAR:
```
Re2NiI
1.0
-1.799 -1.462 -3.062
3.135 -2.042 -0.867
-2.603 -9.075 3.453
Re Ni I
4 2 2
direct
0.375 0.437 0.750
0.187 0.625 0.250
0.563 0.125 0.250
0.875 0.813 0.750
0.500 0.500 0.000
0.250 0.750 0.500
0.750 0.250 0.500
0.000 0.000 0.000
```

Results
energy above the most stable polymorph in this dataset: 0.0 meV/atom
SG: I-42d (122)

***

# 3
A geometry-optimized Re2NiI structure, computed with PBE-GGA.

Cell and atoms, written as POSCAR:
```
Re2NiI
1.0
3.785 -1.177 1.987
1.342 2.128 3.651
-0.104 -2.055 3.927
I Re Ni
1 2 1
direct
0.500 0.500 0.500
0.750 0.750 0.750
0.250 0.250 0.250
0.000 0.000 0.000
```

Results
energy above the most stable polymorph in this dataset: 64.0 meV/atom
SG: Fm-3m (225)

***

# 4
A geometry-optimized ReNiI2 structure, computed with PBE-GGA.

Cell and atoms, written as POSCAR:
```
ReNiI2
1.0
-1.872 5.528 1.130
-3.824 -2.119 4.029
1.156 2.227 6.656
Ni Re I
2 2 4
direct
0.500 0.500 0.000
0.250 0.750 0.500
0.000 0.000 0.000
0.750 0.250 0.500
0.375 0.390 0.750
0.610 0.125 0.250
0.140 0.625 0.250
0.875 0.860 0.750
```

Results
energy above the most stable polymorph in this dataset: 0.0 meV/atom
SG: I-42d (122)

***

# 5
A geometry-optimized Re3NiI structure, computed with PBE-GGA.

Cell and atoms, written as POSCAR:
```
Re3NiI
1.0
-3.762 2.528 0.255
-2.212 -3.482 1.895
1.251 1.446 4.117
Re I Ni
3 1 1
direct
0.500 0.000 0.000
0.000 0.500 0.000
0.000 0.000 0.500
0.500 0.500 0.500
0.000 0.000 0.000
```

Results
energy above the most stable polymorph in this dataset: 0.0 meV/atom
SG: Pm-3m (221)

***

# 6
A geometry-optimized ReNiI2 structure, computed with PBE-GGA.

Cell and atoms, written as POSCAR:
```
ReNiI2
1.0
-4.639 -0.731 0.754
-1.910 1.015 4.236
-2.949 3.705 0.453
Ni I Re
1 2 1
direct
0.000 0.000 0.000
0.750 0.750 0.750
0.250 0.250 0.250
0.500 0.500 0.500
```

Results
energy above the most stable polymorph in this dataset: 239.9 meV/atom
SG: Fm-3m (225)

***

# 7
A geometry-optimized Re3NiI structure, computed with PBE-GGA.

Cell and atoms, written as POSCAR:
```
Re3NiI
1.0
-2.586 3.872 1.031
0.695 -0.776 4.654
3.947 2.674 -0.144
I Ni Re
1 1 3
direct
0.000 0.000 0.000
0.500 0.500 0.500
0.000 0.500 0.000
0.500 0.000 0.000
0.000 0.000 0.500
```

Results
energy above the most stable polymorph in this dataset: 963.8 meV/atom
SG: Pm-3m (221)

***

# 8
A geometry-optimized ReNiI2 structure, computed with PBE-GGA.

Cell and atoms, written as POSCAR:
```
ReNiI2
1.0
3.522 0.000 0.000
1.761 3.050 0.000
1.761 1.017 8.395
I Ni Re
2 1 1
direct
0.898 0.898 0.305
0.102 0.102 0.695
0.500 0.500 0.500
0.000 0.000 0.000
```

Results
energy above the most stable polymorph in this dataset: 162.1 meV/atom
SG: R-3m (166)

***

# 9
A geometry-optimized ReNiSb2I structure, computed with PBE-GGA.

Cell and atoms, written as POSCAR:
```
ReNiSb2I
1.0
5.056 0.000 0.000
0.000 5.056 0.000
0.000 0.000 5.866
Re I Ni Sb
1 1 1 2
direct
0.000 0.000 0.000
0.000 0.000 0.500
0.500 0.500 0.500
0.000 0.500 0.000
0.500 0.000 0.000
```

Results
energy above the most stable polymorph in this dataset: 0.0 meV/atom
SG: P4/mmm (123)

***

# 10
A geometry-optimized ReNiSb2I structure, computed with PBE-GGA.

Cell and atoms, written as POSCAR:
```
ReNiSb2I
1.0
-1.666 -3.308 3.279
-3.044 -1.863 -3.426
3.656 -3.289 -1.460
Sb I Ni Re
2 1 1 1
direct
0.000 0.500 0.000
0.500 0.000 0.000
0.000 0.000 0.500
0.000 0.000 0.000
0.500 0.500 0.500
```

Results
energy above the most stable polymorph in this dataset: 132.2 meV/atom
SG: P4/mmm (123)

***

| no. | uncorrected formation energy (eV/atom) |
| --- | --- |
| 1 | -0.669 |
| 2 | 1.062 |
| 3 | 1.126 |
| 4 | 1.018 |
| 5 | 2.151 |
| 6 | 1.258 |
| 7 | 3.115 |
| 8 | 1.180 |
| 9 | 1.158 |
| 10 | 1.290 |